Computed, not measured: a relaxed CaLa3Y2Se6 crystal at the PBE level of DFT. Values from VASP.

Calculated total energy: -73.59 eV per formula unit
Crystal system: monoclinic
M_tot: 0.00 μB/f.u.
ρ: 5.78 Mg/m³

Cell and atoms, written as Quantum ESPRESSO input:
```
&SYSTEM
  ibrav = 0, nat = 12, ntyp = 4
/
ATOMIC_SPECIES
Y 88.91 Y.upf
Se 78.96 Se.upf
La 138.91 La.upf
Ca 40.08 Ca.upf
CELL_PARAMETERS angstrom
7.2679 -0.0042 0.0021
-3.6358 6.2931 0.0021
-1.2092 -2.0936 6.9587
ATOMIC_POSITIONS crystal
Y 0.3330 0.6670 0.0000
Y 0.6670 0.3330 0.0000
Se 0.2573 0.2573 0.7687
Se 0.7427 0.7427 0.2313
Se 0.5875 0.9221 0.7660
Se 0.4125 0.0779 0.2340
Se 0.0779 0.4125 0.2340
Se 0.9221 0.5875 0.7660
La 0.8347 0.1653 0.5000
La 0.1653 0.8347 0.5000
La 0.5000 0.5000 0.5000
Ca 0.0000 0.0000 0.0000
```